[1]
Computed, not measured: a PBEsol-optimized structure of Cs3As7 at the meta-GGA SCAN level of DFT.

The structure belongs to space group Pbca (No. 61); the cell edges are 10.070, 13.454 and 21.440 Å and the angles 90.00°, 90.00° and 90.00°. The inequivalent atoms are Cs at (0.105, 0.225, 0.124), Cs at (0.207, 0.030, 0.770), Cs at (0.240, 0.048, 0.478), As at (0.034, 0.168, 0.952), As at (0.044, 0.620, 0.146), As at (0.063, 0.721, 0.709), As at (0.079, 0.673, 0.042), As at (0.088, 0.593, 0.633), As at (0.163, 0.206, 0.315) and As at (0.245, 0.206, 0.903).

For the density of states at the Fermi level, the calculation gives 0.00 states/eV/f.u. As for the formation energy: -0.4871 eV/atom.

=====

[2]
Computed, not measured: a PBEsol-optimized structure of Te2PbSe at the meta-GGA SCAN level of DFT.

The structure belongs to space group Immm (No. 71); the cell edges are 4.025, 4.353 and 13.238 Å and the angles 90.00°, 90.00° and 90.00°. The inequivalent atoms are Te at (0.000, 0.000, 0.220), Pb at (0.000, 0.500, 0.500) and Se at (0.000, 0.500, 0.000).

For the density of states at the Fermi level, the calculation gives 2.05 states/eV/f.u. The value obtained for the raw formation energy is -0.036 eV per atom.

=====

[3]
Computed, not measured: a PBEsol-optimized structure of Be2ZnMoPt at the meta-GGA SCAN level of DFT.

The structure belongs to space group P4/mmm (No. 123); the cell edges are 4.126, 4.126 and 4.601 Å and the angles 90.00°, 90.00° and 90.00°. The inequivalent atoms are Be at (0.000, 0.500, 0.000), Zn at (0.000, 0.000, 0.500), Mo at (0.500, 0.500, 0.500) and Pt at (0.000, 0.000, 0.000).

For the density of states at the Fermi level, the calculation gives 2.36 states/eV/f.u. As for the formation energy: 0.5221 eV/atom.

=====

[4]
Computed, not measured: a PBEsol-optimized structure of RbBP2Cl at the meta-GGA SCAN level of DFT.

The structure belongs to space group P4/mmm (No. 123); the cell edges are 6.468, 6.468 and 5.877 Å and the angles 90.00°, 90.00° and 90.00°. The inequivalent atoms are Rb at (0.000, 0.000, 0.000), B at (0.500, 0.500, 0.500), P at (0.000, 0.500, 0.000) and Cl at (0.000, 0.000, 0.500).

For the density of states at the Fermi level, the calculation gives 0.73 states/eV/f.u. The value obtained for the raw formation energy is 1.894 eV per atom.

=====

[5]
Computed, not measured: a PBEsol-optimized structure of TiBr3 at the meta-GGA SCAN level of DFT.

The structure belongs to space group P-1 (No. 2); the cell edges are 6.216, 6.275 and 7.302 Å and the angles 64.62°, 64.81° and 60.31°. The inequivalent atoms are Ti at (0.175, 0.150, 0.000), Br at (0.086, 0.425, 0.224), Br at (0.240, 0.923, 0.758) and Br at (0.419, 0.759, 0.242).

For the density of states at the Fermi level, the calculation gives 0.41 states/eV/f.u. The value obtained for the raw formation energy is -1.361 eV per atom.

=====

[6]
Computed, not measured: a PBEsol-optimized structure of Pr3Sb5O12 at the meta-GGA SCAN level of DFT.

The structure belongs to space group I-43m (No. 217); the cell edges are 11.007, 11.007 and 11.007 Å and the angles 90.00°, 90.00° and 90.00°. The inequivalent atoms are Pr at (0.000, 0.250, 0.500), Sb at (0.000, 0.000, 0.277), Sb at (0.246, 0.246, 0.754), O at (0.100, 0.100, 0.613) and O at (0.137, 0.137, 0.334).

For the density of states at the Fermi level, the calculation gives 0.00 states/eV/f.u. The value obtained for the raw formation energy is -2.345 eV per atom.

=====

[7]
Computed, not measured: a PBEsol-optimized structure of Ba2AsP at the meta-GGA SCAN level of DFT.

The structure belongs to space group Cm (No. 8); the cell edges are 11.295, 4.502 and 4.964 Å and the angles 90.00°, 98.29° and 90.00°. The inequivalent atoms are Ba at (0.000, 0.000, 0.000), Ba at (0.243, 0.500, 0.545), As at (0.455, 0.000, 0.445) and P at (0.284, 0.000, 0.105).

For the density of states at the Fermi level, the calculation gives 0.04 states/eV/f.u. As for the formation energy: -1.1276 eV/atom.

=====

[8]
Computed, not measured: a PBEsol-optimized structure of Mg2Cr2Te at the meta-GGA SCAN level of DFT.

The structure belongs to space group I4/mmm (No. 139); the cell edges are 3.262, 3.262 and 17.650 Å and the angles 90.00°, 90.00° and 90.00°. The inequivalent atoms are Mg at (0.000, 0.000, 0.120), Cr at (0.000, 0.500, 0.250) and Te at (0.000, 0.000, 0.500).

For the density of states at the Fermi level, the calculation gives 3.89 states/eV/f.u. The value obtained for the raw formation energy is 0.439 eV per atom.

=====

[9]
Computed, not measured: a PBEsol-optimized structure of Be2OsCSe at the meta-GGA SCAN level of DFT.

The structure belongs to space group P4/mmm (No. 123); the cell edges are 3.477, 3.477 and 4.906 Å and the angles 90.00°, 90.00° and 90.00°. The inequivalent atoms are Be at (0.000, 0.500, 0.000), Os at (0.000, 0.000, 0.500), C at (0.500, 0.500, 0.000) and Se at (0.500, 0.500, 0.500).

For the density of states at the Fermi level, the calculation gives 2.69 states/eV/f.u. The value obtained for the raw formation energy is 0.849 eV per atom.

=====

[10]
Computed, not measured: a PBEsol-optimized structure of Tl10Hg3Cl16 at the meta-GGA SCAN level of DFT.

The structure belongs to space group I4/m (No. 87); the cell edges are 8.250, 8.250 and 23.544 Å and the angles 90.00°, 90.00° and 90.00°. The inequivalent atoms are Tl at (0.000, 0.000, 0.231), Tl at (0.134, 0.337, 0.089), Hg at (0.000, 0.000, 0.500), Hg at (0.000, 0.500, 0.250), Cl at (0.000, 0.000, 0.099), Cl at (0.000, 0.000, 0.399), Cl at (0.149, 0.326, 0.500) and Cl at (0.168, 0.332, 0.316).

For the density of states at the Fermi level, the calculation gives 0.00 states/eV/f.u. The value obtained for the raw formation energy is -0.959 eV per atom.

=====

[11]
Computed, not measured: a PBEsol-optimized structure of KZrCuF7 at the meta-GGA SCAN level of DFT.

The structure belongs to space group Cmcm (No. 63); the cell edges are 8.320, 12.754 and 9.996 Å and the angles 90.00°, 90.00° and 90.00°. The inequivalent atoms are K at (0.237, 0.098, 0.250), Zr at (0.000, 0.366, 0.068), Cu at (0.000, 0.136, 0.571), F at (0.000, 0.000, 0.000), F at (0.000, 0.079, 0.750), F at (0.000, 0.205, 0.110), F at (0.000, 0.279, 0.616), F at (0.000, 0.474, 0.614), F at (0.140, 0.364, 0.250) and F at (0.231, 0.374, 0.013).

The value obtained for the raw formation energy is -3.202 eV per atom.

=====

[12]
Computed, not measured: a PBEsol-optimized structure of CoReMoRh2 at the meta-GGA SCAN level of DFT.

The structure belongs to space group P4/mmm (No. 123); the cell edges are 4.617, 4.617 and 4.582 Å and the angles 90.00°, 90.00° and 90.00°. The inequivalent atoms are Co at (0.000, 0.000, 0.000), Re at (0.500, 0.500, 0.500), Mo at (0.500, 0.500, 0.000) and Rh at (0.000, 0.500, 0.500).

For the density of states at the Fermi level, the calculation gives 4.17 states/eV/f.u. As for the formation energy: 1.6961 eV/atom.